Computed, not measured: crystalline Al2GaBr at its relaxed geometry at the PBE level of DFT. Values from VASP.

```
&SYSTEM
  ibrav = 0, nat = 4, ntyp = 3
/
ATOMIC_SPECIES
Al 26.98 Al.upf
Ga 69.72 Ga.upf
Br 79.90 Br.upf
CELL_PARAMETERS angstrom
0.000 3.467 3.467
3.467 0.000 3.467
3.467 3.467 0.000
ATOMIC_POSITIONS crystal
Al 0.250 0.250 0.250
Al 0.750 0.750 0.750
Ga 0.000 0.000 0.000
Br 0.500 0.500 0.500
```

Theoretical density   4.1 g/cm3
Formation energy from raw total energies   0.270 eV per atom
Total energy   -11.10 eV/f.u.